# 1
A relaxed ScBeRu4 crystal, computed with GGA-PBE.

Unit cell a=5.096 b=5.096 c=5.096 alpha=60.00 beta=60.00 gamma=60.00
Element x y z (fractional)
Sc: 0.000 0.000 0.000
Be: 0.750 0.750 0.750
Ru: 0.376 0.376 0.376
Ru: 0.376 0.376 0.873
Ru: 0.376 0.873 0.376
Ru: 0.873 0.376 0.376

## Properties
**Electronic total energy**: -7.69 eV per atom
**Formation enthalpy at 0 K**: 0.17 eV/atom

---

# 2
A relaxed Sc2BeSi2Ru5 crystal, computed with GGA-PBE.

Unit cell a=9.592 b=9.592 c=3.142 alpha=90.00 beta=90.00 gamma=90.00
Element x y z (fractional)
Sc: 0.169 0.331 0.000
Sc: 0.331 0.831 0.000
Sc: 0.669 0.169 0.000
Sc: 0.831 0.669 0.000
Be: 0.000 0.000 0.000
Be: 0.500 0.500 0.000
Si: 0.134 0.634 0.000
Si: 0.366 0.134 0.000
Si: 0.634 0.866 0.000
Si: 0.866 0.366 0.000
Ru: 0.000 0.500 0.500
Ru: 0.062 0.806 0.500
Ru: 0.194 0.062 0.500
Ru: 0.306 0.562 0.500
Ru: 0.438 0.306 0.500
Ru: 0.500 0.000 0.500
Ru: 0.562 0.694 0.500
Ru: 0.694 0.438 0.500
Ru: 0.806 0.938 0.500
Ru: 0.938 0.194 0.500

## Properties
**E_form (uncorrected)**: -0.579 eV per atom
**Electronic total energy**: -7.94 eV per atom